Record 1
! CsRb2TiRu (PBE, relaxed); values from VASP
&SYSTEM
  ibrav = 0, nat = 5, ntyp = 4
/
ATOMIC_SPECIES
Cs 132.91 Cs.upf
Ru 101.07 Ru.upf
Rb 85.47 Rb.upf
Ti 47.87 Ti.upf
CELL_PARAMETERS angstrom
-2.866 -5.772 -3.055
2.876 -2.640 2.292
-4.704 -0.490 5.338
ATOMIC_POSITIONS crystal
Cs 0.500 0.500 0.500
Ru 0.000 0.000 0.000
Rb 0.000 0.000 0.500
Rb 0.500 0.000 0.000
Ti 0.000 0.500 0.000
! ΔE_f   0.73 eV/atom
! Size of the total moment   0.00 μB per formula unit
! SG   P4/mmm (123)

---

Record 2
! CsRbZnRu2 (PBE, relaxed); values from VASP
&SYSTEM
  ibrav = 0, nat = 5, ntyp = 4
/
ATOMIC_SPECIES
Cs 132.91 Cs.upf
Ru 101.07 Ru.upf
Zn 65.41 Zn.upf
Rb 85.47 Rb.upf
CELL_PARAMETERS angstrom
-3.290 -2.498 2.668
4.611 -3.209 2.682
0.300 3.394 3.546
ATOMIC_POSITIONS crystal
Cs 0.000 0.500 0.000
Ru 0.000 0.000 0.500
Ru 0.500 0.000 0.000
Zn 0.000 0.000 0.000
Rb 0.500 0.500 0.500
! ΔE_f   1.29 eV/atom
! Size of the total moment   3.28 μB per formula unit
! SG   P4/mmm (123)